1.
The following is a GGA-PBE calculation of a relaxed structure of CaTl2NiTe, from the Alexandria database.

Cell: 5.0440 5.0440 5.5134 Å, 90.00 90.00 90.00°
Last column: nearest neighbours and their distance in Å.
Space group P4/mmm (No. 123)
Inequivalent atoms, fractional coordinates:
1 Ca 0.0000 0.0000 0.0000 [1 per cell]  2 Ni 2.76
2 Tl 0.0000 0.5000 0.5000 [2 per cell]  2 Ni 2.52
3 Ni 0.0000 0.0000 0.5000 [1 per cell]  4 Tl 2.52, 2 Ca 2.76
4 Te 0.5000 0.5000 0.0000 [1 per cell]  4 Ca 3.57, 8 Tl 3.74

Calculated values
Calculated volume: 28.1 A^3/atom
Formation energy from raw total energies: -356 meV/atom
Uncorrected energy: -3.4870 eV per atom
Energy relative to the lowest polymorph listed for this composition: 0.000 eV/atom

2.
The following is a GGA-PBE calculation of a relaxed structure of CaTl2NiTe, from the Alexandria database.

Cell: 6.0205 6.0205 4.7426 Å, 90.00 90.00 90.00°
Last column: nearest neighbours and their distance in Å.
Space group P4/mmm (No. 123)
Inequivalent atoms, fractional coordinates:
1 Ca 0.0000 0.0000 0.0000 [1 per cell]  2 Ni 2.37
2 Tl 0.0000 0.5000 0.0000 [2 per cell]  2 Ca 3.01
3 Ni 0.0000 0.0000 0.5000 [1 per cell]  2 Ca 2.37
4 Te 0.5000 0.5000 0.5000 [1 per cell]  8 Tl 3.83, 4 Ni 4.26

Calculated values
Calculated volume: 34.4 A^3/atom
Formation energy from raw total energies: 614 meV/atom
Uncorrected energy: -2.5172 eV per atom
Energy relative to the lowest polymorph listed for this composition: 0.970 eV/atom

3.
The following is a GGA-PBE calculation of a relaxed structure of Ca2ZnNiTe, from the Alexandria database.

Cell: 5.3477 5.3477 4.5773 Å, 90.00 90.00 90.00°
Last column: nearest neighbours and their distance in Å.
Space group P4/mmm (No. 123)
Inequivalent atoms, fractional coordinates:
1 Ca 0.0000 0.5000 0.0000 [2 per cell]  2 Ni 2.67
2 Zn 0.0000 0.0000 0.5000 [1 per cell]  2 Ni 2.29
3 Ni 0.0000 0.0000 0.0000 [1 per cell]  2 Zn 2.29
4 Te 0.5000 0.5000 0.5000 [1 per cell]  8 Ca 3.52, 4 Zn 3.78

Calculated values
Calculated volume: 26.2 A^3/atom
Formation energy from raw total energies: -496 meV/atom
Uncorrected energy: -3.3356 eV per atom

4.
The following is a GGA-PBE calculation of a relaxed structure of CaThNi4, from the Alexandria database.

Cell: 7.2494 7.2494 7.2494 Å, 90.00 90.00 90.00°
Last column: nearest neighbours and their distance in Å.
Space group F-43m (No. 216)
Inequivalent atoms, fractional coordinates:
1 Ca 0.0000 0.0000 0.0000 [4 per cell]  12 Ni 3.00, 4 Th 3.14
2 Th 0.2500 0.2500 0.2500 [4 per cell]  12 Ni 3.01, 4 Ca 3.14
3 Ni 0.1254 0.1254 0.6254 [16 per cell]  6 Ni 2.55-2.57

Calculated values
Energy relative to the elements: -0.3160 eV/atom
Calculated volume: 15.9 A^3/atom
Uncorrected energy: -5.7404 eV per atom

5.
The following is a GGA-PBE calculation of a relaxed structure of CaTh2Ni9, from the Alexandria database.

Cell: 5.0249 5.0249 24.7599 Å, 90.00 90.00 120.00°
Last column: nearest neighbours and their distance in Å.
Space group R-3m (No. 166, hexagonal axes)
Inequivalent atoms, fractional coordinates:
1 Ca 0.0000 0.0000 0.0000 [3 per cell]  18 Ni 2.90-3.23
2 Th 0.0000 0.0000 0.1355 [6 per cell]  9 Ni 2.84-3.00
3 Ni 0.0000 0.0000 0.3327 [6 per cell]  6 Ni 2.47-2.51
4 Ni 0.0000 0.0000 0.5000 [3 per cell]  6 Ni 2.56
5 Ni 0.0014 0.5007 0.9183 [18 per cell]  7 Ni 2.47-2.56

Calculated values
Energy relative to the elements: -0.3158 eV/atom
Calculated volume: 15.0 A^3/atom
Uncorrected energy: -6.0553 eV per atom

6.
The following is a GGA-PBE calculation of a relaxed structure of CaThNi10, from the Alexandria database.

Cell: 3.9729 4.9433 8.5249 Å, 90.00 90.00 90.00°
Last column: nearest neighbours and their distance in Å.
Space group Pmmm (No. 47)
Inequivalent atoms, fractional coordinates:
1 Ca 0.0000 0.0000 0.0000 [1 per cell]  18 Ni 2.84-3.18
2 Th 0.0000 0.5000 0.5000 [1 per cell]  18 Ni 2.83-3.17
3 Ni 0.0000 0.0000 0.3334 [2 per cell]  6 Ni 2.44-2.45
4 Ni 0.0000 0.5000 0.1675 [2 per cell]  6 Ni 2.44-2.45
5 Ni 0.5000 0.0000 0.5000 [1 per cell]  8 Ni 2.44-2.46
6 Ni 0.5000 0.2520 0.2515 [4 per cell]  8 Ni 2.44-2.49
7 Ni 0.5000 0.5000 0.0000 [1 per cell]  8 Ni 2.45-2.47

Calculated values
Energy relative to the elements: -0.2616 eV/atom
Calculated volume: 14.0 A^3/atom
Uncorrected energy: -5.8645 eV per atom

7.
The following is a GGA-PBE calculation of a relaxed structure of Ca2ThNi6, from the Alexandria database.

Cell: 3.7586 7.1098 12.9264 Å, 90.00 90.00 90.00°
Last column: nearest neighbours and their distance in Å.
Space group Immm (No. 71)
Inequivalent atoms, fractional coordinates:
1 Ca 0.0000 0.0000 0.1497 [4 per cell]  10 Ni 2.85-3.03
2 Th 0.0000 0.5000 0.0000 [2 per cell]  12 Ni 2.94-3.07
3 Ni 0.0000 0.1656 0.3507 [8 per cell]  2 Ni 2.30-2.35
4 Ni 0.0000 0.3411 0.5000 [4 per cell]  3 Ni 2.26-2.30

Calculated values
Energy relative to the elements: 0.0271 eV/atom
Calculated volume: 19.2 A^3/atom
Uncorrected energy: -5.0963 eV per atom

8.
The following is a GGA-PBE calculation of a relaxed structure of CaTh2Ni, from the Alexandria database.

Cell: 3.7386 3.7386 32.0178 Å, 90.00 90.00 120.00°
Last column: nearest neighbours and their distance in Å.
Space group R-3m (No. 166, hexagonal axes)
Inequivalent atoms, fractional coordinates:
1 Ca 0.0000 0.0000 0.0000 [3 per cell]  2 Th 3.61, 6 Ca 3.74
2 Th 0.0000 0.0000 0.1126 [6 per cell]  3 Ni 2.77
3 Ni 0.0000 0.0000 0.5000 [3 per cell]  6 Th 2.77

Calculated values
Energy relative to the elements: 0.1088 eV/atom
Calculated volume: 32.3 A^3/atom
Uncorrected energy: -5.5469 eV per atom

9.
The following is a GGA-PBE calculation of a relaxed structure of CaTi3Ni, from the Alexandria database.

Cell: 4.7110 4.7110 4.7110 Å, 90.00 90.00 90.00°
Last column: nearest neighbours and their distance in Å.
Space group Pm-3m (No. 221)
Inequivalent atoms, fractional coordinates:
1 Ca 0.0000 0.0000 0.0000 [1 per cell]  12 Ti 3.33
2 Ti 0.0000 0.5000 0.5000 [3 per cell]  2 Ni 2.36
3 Ni 0.5000 0.5000 0.5000 [1 per cell]  6 Ti 2.36

Calculated values
Energy relative to the elements: 0.3431 eV/atom
Calculated volume: 20.9 A^3/atom
Uncorrected energy: -5.9504 eV per atom
Energy relative to the lowest polymorph listed for this composition: 0.000 eV/atom

10.
The following is a GGA-PBE calculation of a relaxed structure of CaTi2Ni, from the Alexandria database.

Cell: 4.6303 4.6303 17.5869 Å, 90.00 90.00 90.00°
Last column: nearest neighbours and their distance in Å.
Space group I-42d (No. 122)
Inequivalent atoms, fractional coordinates:
1 Ca 0.0000 0.0000 0.0000 [4 per cell]  4 Ni 3.27, 8 Ti 3.33-3.46
2 Ti 0.0197 0.2500 0.6250 [8 per cell]  2 Ti 2.32, 2 Ni 2.49
3 Ni 0.0000 0.0000 0.5000 [4 per cell]  4 Ti 2.49

Calculated values
Energy relative to the elements: 0.6610 eV/atom
Calculated volume: 23.6 A^3/atom
Uncorrected energy: -5.2321 eV per atom
Energy relative to the lowest polymorph listed for this composition: 0.190 eV/atom

11.
The following is a GGA-PBE calculation of a relaxed structure of CaTi2Ni2, from the Alexandria database.

Cell: 4.2449 4.2449 9.9114 Å, 90.00 90.00 90.00°
Last column: nearest neighbours and their distance in Å.
Space group I4/mmm (No. 139)
Inequivalent atoms, fractional coordinates:
1 Ca 0.0000 0.0000 0.0000 [2 per cell]  8 Ni 3.23, 8 Ti 3.26
2 Ti 0.0000 0.5000 0.2500 [4 per cell]  4 Ni 2.48
3 Ni 0.0000 0.0000 0.3792 [4 per cell]  1 Ni 2.40, 4 Ti 2.48

Calculated values
Energy relative to the elements: -0.1677 eV/atom
Calculated volume: 17.9 A^3/atom
Uncorrected energy: -6.0385 eV per atom
Energy relative to the lowest polymorph listed for this composition: 0.000 eV/atom

12.
The following is a GGA-PBE calculation of a relaxed structure of Ca2TiNi, from the Alexandria database.

Cell: 10.3922 10.3922 4.5450 Å, 90.00 90.00 90.00°
Last column: nearest neighbours and their distance in Å.
Space group I-42d (No. 122)
Inequivalent atoms, fractional coordinates:
1 Ca 0.0957 0.2500 0.1250 [8 per cell]  2 Ni 2.84
2 Ti 0.0000 0.0000 0.5000 [4 per cell]  2 Ni 2.27
3 Ni 0.0000 0.0000 0.0000 [4 per cell]  2 Ti 2.27

Calculated values
Energy relative to the elements: 0.3957 eV/atom
Calculated volume: 30.7 A^3/atom
Uncorrected energy: -4.0241 eV per atom
Energy relative to the lowest polymorph listed for this composition: 0.000 eV/atom